First-principles (PBE+U) data for crystalline Fe2CoP3O12 at its relaxed geometry, as listed in Alexandria.

Unit cell a=8.6509 b=8.6509 c=20.2869 alpha=90.00 beta=90.00 gamma=120.00
Space group R-3c (No. 167, hexagonal axes)
Inequivalent atoms, fractional coordinates:
Fe 0.0000 0.0000 0.1450
Co 0.0000 0.0000 0.0000
P 0.0000 0.2974 0.2500
O 0.0093 0.1772 0.9282
O 0.0118 0.2044 0.3118

- Energy: -748.66 eV/cell
- Total magnetization: 14.06 μB/f.u.